No. 1
# SmGdScIn | Alexandria via LeMat-Bulk | PBE-GGA | optimized geometry
# - size of the total moment (μB/cell) = 33.41
# - formation energy (meV/atom) = -176
data_SmGdScIn
_cell_length_a 7.6379
_cell_length_b 7.6379
_cell_length_c 7.6379
_cell_angle_alpha 90.00
_cell_angle_beta 90.00
_cell_angle_gamma 90.00
_space_group_name_H-M_alt 'F -4 3 m'
_space_group_IT_number 216
_space_group_name_Hall 'F -4 2 3'
loop_
_atom_site_label
_atom_site_fract_x
_atom_site_fract_y
_atom_site_fract_z
Sm1 0.0000 0.0000 0.0000
Gd1 0.0000 0.0000 0.5000
Sc1 0.2500 0.2500 0.7500
In1 0.2500 0.2500 0.2500

No. 2
# TbGdScIn | Alexandria via LeMat-Bulk | PBE-GGA | optimized geometry
# - size of the total moment (μB/cell) = 33.51
# - formation energy (meV/atom) = -173
data_TbGdScIn
_cell_length_a 7.5909
_cell_length_b 7.5909
_cell_length_c 7.5909
_cell_angle_alpha 90.00
_cell_angle_beta 90.00
_cell_angle_gamma 90.00
_space_group_name_H-M_alt 'F -4 3 m'
_space_group_IT_number 216
_space_group_name_Hall 'F -4 2 3'
loop_
_atom_site_label
_atom_site_fract_x
_atom_site_fract_y
_atom_site_fract_z
Tb1 0.0000 0.0000 0.0000
Gd1 0.0000 0.0000 0.5000
Sc1 0.2500 0.2500 0.7500
In1 0.2500 0.2500 0.2500

No. 3
# GdScTlIn | Alexandria via LeMat-Bulk | PBE-GGA | optimized geometry
# - size of the total moment (μB/cell) = 29.48
# - formation energy (meV/atom) = -370
data_GdScTlIn
_cell_length_a 7.4088
_cell_length_b 7.4088
_cell_length_c 7.4088
_cell_angle_alpha 90.00
_cell_angle_beta 90.00
_cell_angle_gamma 90.00
_space_group_name_H-M_alt 'F -4 3 m'
_space_group_IT_number 216
_space_group_name_Hall 'F -4 2 3'
loop_
_atom_site_label
_atom_site_fract_x
_atom_site_fract_y
_atom_site_fract_z
Gd1 0.0000 0.0000 0.0000
Sc1 0.0000 0.0000 0.5000
Tl1 0.2500 0.2500 0.2500
In1 0.2500 0.2500 0.7500

No. 4
# GdTmScIn | Alexandria via LeMat-Bulk | PBE-GGA | optimized geometry
# - size of the total moment (μB/cell) = 33.29
# - formation energy (meV/atom) = -161
data_GdTmScIn
_cell_length_a 7.5397
_cell_length_b 7.5397
_cell_length_c 7.5397
_cell_angle_alpha 90.00
_cell_angle_beta 90.00
_cell_angle_gamma 90.00
_space_group_name_H-M_alt 'F -4 3 m'
_space_group_IT_number 216
_space_group_name_Hall 'F -4 2 3'
loop_
_atom_site_label
_atom_site_fract_x
_atom_site_fract_y
_atom_site_fract_z
Gd1 0.0000 0.0000 0.0000
Tm1 0.0000 0.0000 0.5000
Sc1 0.2500 0.2500 0.7500
In1 0.2500 0.2500 0.2500

No. 5
# GdYScIn | Alexandria via LeMat-Bulk | PBE-GGA | optimized geometry
# - size of the total moment (μB/cell) = 33.85
# - formation energy (meV/atom) = -181
data_GdYScIn
_cell_length_a 7.5900
_cell_length_b 7.5900
_cell_length_c 7.5900
_cell_angle_alpha 90.00
_cell_angle_beta 90.00
_cell_angle_gamma 90.00
_space_group_name_H-M_alt 'F -4 3 m'
_space_group_IT_number 216
_space_group_name_Hall 'F -4 2 3'
loop_
_atom_site_label
_atom_site_fract_x
_atom_site_fract_y
_atom_site_fract_z
Gd1 0.0000 0.0000 0.0000
Y1 0.0000 0.0000 0.5000
Sc1 0.2500 0.2500 0.7500
In1 0.2500 0.2500 0.2500

No. 6
# GdZrScIn | Alexandria via LeMat-Bulk | PBE-GGA | optimized geometry
# - size of the total moment (μB/cell) = 38.84
# - formation energy (meV/atom) = -87
data_GdZrScIn
_cell_length_a 7.3896
_cell_length_b 7.3896
_cell_length_c 7.3896
_cell_angle_alpha 90.00
_cell_angle_beta 90.00
_cell_angle_gamma 90.00
_space_group_name_H-M_alt 'F -4 3 m'
_space_group_IT_number 216
_space_group_name_Hall 'F -4 2 3'
loop_
_atom_site_label
_atom_site_fract_x
_atom_site_fract_y
_atom_site_fract_z
Gd1 0.0000 0.0000 0.0000
Zr1 0.2500 0.2500 0.7500
Sc1 0.0000 0.0000 0.5000
In1 0.2500 0.2500 0.2500

No. 7
# Gd3In5Se12 | Alexandria via LeMat-Bulk | PBE-GGA | optimized geometry
# - size of the total moment (μB/cell) = 167.51
# - raw formation energy (meV/atom) = -986
data_Gd3In5Se12
_cell_length_a 16.5464
_cell_length_b 16.5464
_cell_length_c 16.5464
_cell_angle_alpha 90.00
_cell_angle_beta 90.00
_cell_angle_gamma 90.00
_space_group_name_H-M_alt 'I a -3 d'
_space_group_IT_number 230
_space_group_name_Hall '-I 4bd 2c 3'
loop_
_atom_site_label
_atom_site_fract_x
_atom_site_fract_y
_atom_site_fract_z
Gd1 0.0000 0.2500 0.1250
In1 0.0000 0.0000 0.0000
In2 0.0000 0.2500 0.3750
Se1 0.0210 0.0654 0.6520

No. 8
# Gd2InSe | Alexandria via LeMat-Bulk | PBE-GGA | optimized geometry
# - size of the total moment (μB/cell) = 42.40
# - polymorph energy (0 for the lowest one) (meV/atom) = 0.0
# - raw formation energy (meV/atom) = -1096
data_Gd2InSe
_cell_length_a 3.9809
_cell_length_b 3.9809
_cell_length_c 24.1336
_cell_angle_alpha 90.00
_cell_angle_beta 90.00
_cell_angle_gamma 120.00
_space_group_name_H-M_alt 'R -3 m'
_space_group_IT_number 166
_space_group_name_Hall '-R 3 2"'
loop_
_atom_site_label
_atom_site_fract_x
_atom_site_fract_y
_atom_site_fract_z
Gd1 0.0000 0.0000 0.2396
In1 0.0000 0.0000 0.0000
Se1 0.0000 0.0000 0.5000

No. 9
# Gd2InSe | Alexandria via LeMat-Bulk | PBE-GGA | optimized geometry
# - size of the total moment (μB/cell) = 15.15
# - polymorph energy (0 for the lowest one) (meV/atom) = 82.3
# - raw formation energy (meV/atom) = -1013
data_Gd2InSe
_cell_length_a 3.5152
_cell_length_b 3.5152
_cell_length_c 8.1723
_cell_angle_alpha 90.00
_cell_angle_beta 90.00
_cell_angle_gamma 90.00
_space_group_name_H-M_alt 'P 4/m m m'
_space_group_IT_number 123
_space_group_name_Hall '-P 4 2'
loop_
_atom_site_label
_atom_site_fract_x
_atom_site_fract_y
_atom_site_fract_z
Gd1 0.0000 0.0000 0.2258
In1 0.5000 0.5000 0.5000
Se1 0.5000 0.5000 0.0000

No. 10
# GdInSi2 | Alexandria via LeMat-Bulk | PBE-GGA | optimized geometry
# - size of the total moment (μB/cell) = 6.79
# - raw formation energy (meV/atom) = -242
data_GdInSi2
_cell_length_a 4.4988
_cell_length_b 4.4988
_cell_length_c 4.0431
_cell_angle_alpha 90.00
_cell_angle_beta 90.00
_cell_angle_gamma 90.00
_space_group_name_H-M_alt 'P 4/m m m'
_space_group_IT_number 123
_space_group_name_Hall '-P 4 2'
loop_
_atom_site_label
_atom_site_fract_x
_atom_site_fract_y
_atom_site_fract_z
Gd1 0.0000 0.0000 0.0000
In1 0.5000 0.5000 0.0000
Si1 0.0000 0.5000 0.5000

No. 11
# GdInSi | Alexandria via LeMat-Bulk | PBE-GGA | optimized geometry
# - size of the total moment (μB/cell) = 6.96
# - raw formation energy (meV/atom) = -399
data_GdInSi
_cell_length_a 4.2973
_cell_length_b 4.2973
_cell_length_c 4.5353
_cell_angle_alpha 90.00
_cell_angle_beta 90.00
_cell_angle_gamma 120.00
_space_group_name_H-M_alt 'P 3 m 1'
_space_group_IT_number 156
_space_group_name_Hall 'P 3 -2"'
loop_
_atom_site_label
_atom_site_fract_x
_atom_site_fract_y
_atom_site_fract_z
Gd1 0.0000 0.0000 0.0000
In1 0.6667 0.3333 0.4387
Si1 0.3333 0.6667 0.6492

No. 12
# SmGd2In | Alexandria via LeMat-Bulk | PBE-GGA | optimized geometry
# - size of the total moment (μB/cell) = 63.81
# - formation energy (meV/atom) = -150
# - polymorph energy (0 for the lowest one) (meV/atom) = 144.6
data_SmGd2In
_cell_length_a 7.7885
_cell_length_b 7.7885
_cell_length_c 7.7885
_cell_angle_alpha 90.00
_cell_angle_beta 90.00
_cell_angle_gamma 90.00
_space_group_name_H-M_alt 'F m -3 m'
_space_group_IT_number 225
_space_group_name_Hall '-F 4 2 3'
loop_
_atom_site_label
_atom_site_fract_x
_atom_site_fract_y
_atom_site_fract_z
Sm1 0.0000 0.0000 0.0000
Gd1 0.2500 0.2500 0.2500
In1 0.0000 0.0000 0.5000

No. 13
# SmGdIn2 | Alexandria via LeMat-Bulk | PBE-GGA | optimized geometry
# - size of the total moment (μB/cell) = 7.21
# - formation energy (meV/atom) = -496
# - polymorph energy (0 for the lowest one) (meV/atom) = 0.0
data_SmGdIn2
_cell_length_a 3.7797
_cell_length_b 3.7797
_cell_length_c 7.7517
_cell_angle_alpha 90.00
_cell_angle_beta 90.00
_cell_angle_gamma 90.00
_space_group_name_H-M_alt 'P 4/m m m'
_space_group_IT_number 123
_space_group_name_Hall '-P 4 2'
loop_
_atom_site_label
_atom_site_fract_x
_atom_site_fract_y
_atom_site_fract_z
Sm1 0.0000 0.0000 0.0000
Gd1 0.0000 0.0000 0.5000
In1 0.5000 0.5000 0.2526

| no. | raw total energy (eV/atom) |
| --- | --- |
| 1 | -7.1434 |
| 2 | -7.1185 |
| 3 | -6.7489 |
| 4 | -7.0662 |
| 5 | -7.5848 |
| 6 | -8.0121 |
| 7 | -5.8737 |
| 8 | -9.6917 |
| 9 | -9.6094 |
| 10 | -7.1585 |
| 11 | -7.8129 |
| 12 | -9.0552 |
| 13 | -6.5647 |